# CoMo2O

An optimized crystal structure of CoMo2O (PBE with a Hubbard U, Alexandria).

a = 5.1172 Å, b = 5.1172 Å, c = 6.2206 Å
α = 65.71°, β = 65.71°, γ = 90.00°
Closest atoms and distances in Å follow each position.
Element x y z (fractional)
Mo: 0.5704 0.1250 0.2500  2 O 2.06
Mo: 0.1796 0.6250 0.2500  2 O 2.06
Mo: 0.3750 0.4296 0.7500  2 O 2.06
O: 0.2500 0.7500 0.5000  4 Mo 2.06
Co: 0.0000 0.0000 0.0000  4 Mo 2.38
O: 0.5000 0.5000 0.0000  4 Mo 2.06
Co: 0.7500 0.2500 0.5000  4 Mo 2.38
Mo: 0.8750 0.8204 0.7500  2 O 2.06

Results
Its density of states at the Fermi level is 5.0 states/eV per cell. The raw total energy is -5.247 eV/atom.